Rb4AcPu3O12 | the Alexandria database | PBE-GGA | optimized geometry; total magnetization = 0.35 μB/atom; ΔE_f (raw) = -2.524 eV per atom
1.0
7.644 0.000 0.000
-2.548 7.207 0.000
-2.548 -3.604 6.242
O Rb Pu Ac
12 4 3 1
direct
0.750 0.500 0.250
0.276 0.276 0.000
0.276 0.000 0.276
0.500 0.250 0.750
0.724 0.000 0.724
0.250 0.750 0.500
0.750 0.250 0.500
0.500 0.750 0.250
0.724 0.724 0.000
0.000 0.276 0.276
0.250 0.500 0.750
0.000 0.724 0.724
0.000 0.500 0.000
0.500 0.000 0.000
0.000 0.000 0.500
0.500 0.500 0.500
0.500 0.000 0.500
0.500 0.500 0.000
0.000 0.500 0.500
0.000 0.000 0.000